# 1
Here is a relaxed structure of Li2LaGaNi from Alexandria via LeMat-Bulk. Energies are from PBE-GGA.

calculated formation energy	-145	meV per atom
E_tot	-3.657	eV/atom
M_tot	0.0	Bohr magnetons per cell

Unit cell a=4.6511 b=4.6511 c=4.6004 alpha=90.00 beta=90.00 gamma=90.00
Last column: nearest neighbours and their distance in Å.
Space group P4/mmm (No. 123)
One atom of each set of equivalent atoms:
1 Li 0.0000 0.5000 0.0000  2 Ni 2.33
2 La 0.0000 0.0000 0.5000  8 Li 3.27, 4 Ga 3.29
3 Ga 0.5000 0.5000 0.5000  2 Ni 2.30
4 Ni 0.5000 0.5000 0.0000  2 Ga 2.30, 4 Li 2.33

***

# 2
Here is a relaxed structure of CaCoSb from Alexandria via LeMat-Bulk. Energies are from PBE-GGA.

raw formation energy	-0.50	eV/atom
E_tot	-4.909	eV/atom
M_tot	2.1	Bohr magnetons per cell

Unit cell a=4.3927 b=4.3927 c=6.8617 alpha=90.00 beta=90.00 gamma=90.00
Last column: nearest neighbours and their distance in Å.
Space group P4/nmm (No. 129, origin choice 2)
One atom of each set of equivalent atoms:
1 Ca 0.2500 0.2500 0.1925  4 Co 3.05, 5 Sb 3.19-3.37
2 Co 0.2500 0.7500 0.5000  4 Sb 2.59
3 Sb 0.2500 0.2500 0.7011  4 Co 2.59

***

# 3
Here is a relaxed structure of PmGdPuHg from Alexandria via LeMat-Bulk. Energies are from PBE-GGA.

calculated formation energy	91	meV per atom
E_tot	-8.275	eV/atom
M_tot	4.0	Bohr magnetons per cell

Unit cell a=7.6756 b=7.6756 c=7.6756 alpha=90.00 beta=90.00 gamma=90.00
Last column: nearest neighbours and their distance in Å.
Space group F-43m (No. 216)
One atom of each set of equivalent atoms:
1 Pm 0.0000 0.0000 0.0000  4 Pu 3.32, 4 Gd 3.32
2 Gd 0.2500 0.2500 0.2500  4 Hg 3.32, 4 Pm 3.32
3 Pu 0.2500 0.2500 0.7500  4 Hg 3.32, 4 Pm 3.32
4 Hg 0.0000 0.0000 0.5000  4 Gd 3.32, 4 Pu 3.32

***

# 4
Here is a relaxed structure of SrNpSb2 from Alexandria via LeMat-Bulk. Energies are from PBE-GGA.

raw formation energy	-0.50	eV/atom
E_tot	-6.215	eV/atom
M_tot	9.3	Bohr magnetons per cell

Unit cell a=4.5164 b=4.5164 c=23.3196 alpha=90.00 beta=90.00 gamma=120.00
Last column: nearest neighbours and their distance in Å.
Space group R3m (No. 160, hexagonal axes)
One atom of each set of equivalent atoms:
1 Sr 0.0000 0.0000 0.0000  6 Sb 3.36-3.44
2 Np 0.0000 0.0000 0.1706  6 Sb 3.10-3.13
3 Sb 0.0000 0.0000 0.5755  3 Np 3.10, 3 Sr 3.36
4 Sb 0.0000 0.0000 0.7632  3 Np 3.13, 3 Sr 3.44

***

# 5
Here is a relaxed structure of BeTl2P from Alexandria via LeMat-Bulk. Energies are from PBE-GGA.

calculated formation energy	686	meV per atom
E_tot	-2.781	eV/atom
M_tot	0.0	Bohr magnetons per cell

Unit cell a=3.8178 b=5.9360 c=7.8470 alpha=90.00 beta=90.00 gamma=90.00
Last column: nearest neighbours and their distance in Å.
Space group Immm (No. 71)
One atom of each set of equivalent atoms:
1 Be 0.0000 0.0000 0.0000  4 Tl 2.65
2 Tl 0.0000 0.5000 0.2653  2 Be 2.65, 2 P 2.82
3 P 0.0000 0.0000 0.5000  4 Tl 2.82

***

# 6
Here is a relaxed structure of La4Tb3Y8 from Alexandria via LeMat-Bulk. Energies are from PBE-GGA.

calculated formation energy	114	meV per atom
E_tot	-5.573	eV/atom
M_tot	0.0	Bohr magnetons per cell

Unit cell a=7.0443 b=7.0443 c=35.9271 alpha=90.00 beta=90.00 gamma=120.00
Last column: nearest neighbours and their distance in Å.
Space group R-3m (No. 166, hexagonal axes)
One atom of each set of equivalent atoms:
1 La 0.0000 0.0000 0.0000  6 Tb 3.52, 6 Y 3.59
2 La 0.0000 0.0000 0.1639  4 Y 3.29-3.58
3 La 0.0000 0.0000 0.5000  6 Y 3.65, 6 La 4.07
4 Tb 0.0000 0.5000 0.0000  6 Y 3.46-3.58, 4 Tb 3.52, 2 La 3.52
5 Y 0.0000 0.0000 0.2554  1 La 3.29, 3 Tb 3.46, 6 Y 3.53
6 Y 0.0018 0.5009 0.2512  6 Y 3.50-3.54, 2 Tb 3.58, 3 La 3.58-3.65

***

# 7
Here is a relaxed structure of Li2CaTa from Alexandria via LeMat-Bulk. Energies are from PBE-GGA.

calculated formation energy	659	meV per atom
E_tot	-3.762	eV/atom
M_tot	0.0	Bohr magnetons per cell

Unit cell a=5.2147 b=5.2147 c=2.9286 alpha=90.00 beta=90.00 gamma=90.00
Last column: nearest neighbours and their distance in Å.
Space group P4/mmm (No. 123)
One atom of each set of equivalent atoms:
1 Li 0.0000 0.5000 0.0000  2 Li 2.93, 4 Ta 2.99, 4 Ca 2.99
2 Ca 0.0000 0.0000 0.5000  2 Ca 2.93, 8 Li 2.99
3 Ta 0.5000 0.5000 0.5000  2 Ta 2.93, 8 Li 2.99

***

# 8
Here is a relaxed structure of KOsI2 from Alexandria via LeMat-Bulk. Energies are from PBE-GGA.

raw formation energy	0.77	eV/atom
E_tot	-3.087	eV/atom
M_tot	12.0	Bohr magnetons per cell

Unit cell a=7.7067 b=7.7067 c=7.7067 alpha=90.00 beta=90.00 gamma=90.00
Last column: nearest neighbours and their distance in Å.
Space group Fm-3m (No. 225)
One atom of each set of equivalent atoms:
1 K 0.0000 0.0000 0.0000  8 I 3.34
2 Os 0.0000 0.0000 0.5000  8 I 3.34
3 I 0.2500 0.2500 0.2500  4 Os 3.34, 4 K 3.34

***

# 9
Here is a relaxed structure of KHfTlSe3 from Alexandria via LeMat-Bulk. Energies are from PBE-GGA.

raw formation energy	-1.08	eV/atom
E_tot	-5.057	eV/atom
M_tot	0.0	Bohr magnetons per cell

Unit cell a=7.9065 b=16.0012 c=6.8701 alpha=90.00 beta=105.70 gamma=90.00
Last column: nearest neighbours and their distance in Å.
Space group C2/c (No. 15)
One atom of each set of equivalent atoms:
1 K 0.0000 0.0971 0.2500  5 Se 3.17-3.31
2 Hf 0.0000 0.4514 0.2500  5 Se 2.50-2.71
3 Tl 0.0000 0.2951 0.7500  4 Se 3.31-3.44
4 Se 0.0000 0.2953 0.2500  1 Hf 2.50
5 Se 0.2180 0.4547 0.0065  2 Hf 2.59-2.71

***

# 10
Here is a relaxed structure of CuRu2Cl from Alexandria via LeMat-Bulk. Energies are from PBE-GGA.

raw formation energy	0.69	eV/atom
E_tot	-5.431	eV/atom
M_tot	0.0	Bohr magnetons per cell

Unit cell a=2.7994 b=4.4282 c=9.2986 alpha=90.00 beta=90.00 gamma=90.00
Last column: nearest neighbours and their distance in Å.
Space group Imm2 (No. 44)
One atom of each set of equivalent atoms:
1 Cu 0.0000 0.0000 0.0000  6 Ru 2.62-2.86, 2 Cu 2.80, 2 Cl 2.88
2 Ru 0.0000 0.0000 0.5021  2 Cl 2.54, 4 Ru 2.59-2.80, 4 Cu 2.62
3 Ru 0.0000 0.5000 0.7682  4 Ru 2.59-2.80, 4 Cl 2.64, 2 Cu 2.86
4 Cl 0.0000 0.5000 0.2294  6 Ru 2.54-2.64, 2 Cl 2.80

***

# 11
Here is a relaxed structure of VHgH from Alexandria via LeMat-Bulk. Energies are from PBE-GGA.

E_tot	-4.243	eV/atom
M_tot	0.0	Bohr magnetons per cell

Unit cell a=3.0752 b=3.0758 c=9.1786 alpha=85.43 beta=85.39 gamma=64.24
Last column: nearest neighbours and their distance in Å.
Space group P-1 (No. 2)
One atom of each set of equivalent atoms:
1 V 0.2458 0.2461 0.0996  4 H 1.80-1.85
2 Hg 0.1205 0.1177 0.6454  3 V 2.87-2.99, 3 H 2.94-3.06, 5 Hg 3.05-3.08
3 H 0.3983 0.3979 0.9092  4 V 1.80-1.85

***

# 12
Here is a relaxed structure of CsCuSn2 from Alexandria via LeMat-Bulk. Energies are from PBE-GGA.

calculated formation energy	-142	meV per atom
E_tot	-3.381	eV/atom
M_tot	0.0	Bohr magnetons per cell

Unit cell a=4.4316 b=4.4316 c=23.3416 alpha=90.00 beta=90.00 gamma=120.00
Last column: nearest neighbours and their distance in Å.
Space group R-3m (No. 166, hexagonal axes)
One atom of each set of equivalent atoms:
1 Cs 0.0000 0.0000 0.0000  6 Sn 3.90
2 Cu 0.0000 0.0000 0.5000  6 Sn 2.73
3 Sn 0.0000 0.0000 0.2072  3 Cu 2.73